TlHgOs after structural relaxation. Source: Alexandria, functional PBE.

The structure in POSCAR format:
```
TlHgOs
1.0
2.9890 0.0000 0.0000
0.0000 4.0628 0.0000
0.0000 0.0000 10.0412
Tl Hg Os
2 2 2
direct
0.0000 0.0000 0.0000 Tl
0.5000 0.5000 0.5000 Tl
0.0000 0.0000 0.6977 Hg
0.5000 0.5000 0.1977 Hg
0.0000 0.0000 0.3452 Os
0.5000 0.5000 0.8452 Os
```

Results
- SG = No. 44
- density (g/cm³) = 16.2
- energy above the most stable polymorph in this dataset (meV/atom) = 101
- total energy (eV/atom) = -3.577
- total magnetic moment (μB/cell) = 1.64
- formation enthalpy at 0 K (meV per atom) = 1056